[1]
A plane-wave DFT calculation with GGA+U was carried out for a geometry-optimized MoSeO2F structure.

Unit cell a=3.9494 b=3.9494 c=4.4082 alpha=90.00 beta=90.00 gamma=90.00
With the nearest neighbours (Å) after each atom.
Sites, in units of the cell vectors:
1 O 0.5000 0.0000 0.0000  2 Mo 1.97
2 O 0.0000 0.5000 0.0000  2 Mo 1.97
3 F 0.0000 0.0000 0.5000  2 Mo 2.20
4 Mo 0.0000 0.0000 0.0000  4 O 1.97, 2 F 2.20
5 Se 0.5000 0.5000 0.5000  4 F 2.79, 8 O 2.96

Results
Its total energy is -5.15 eV per atom.

[2]
A plane-wave DFT calculation with GGA+U was carried out for a geometry-optimized SiMoOF2 structure.

Unit cell a=4.3704 b=4.3704 c=3.5111 alpha=90.00 beta=90.00 gamma=90.00
With the nearest neighbours (Å) after each atom.
Sites, in units of the cell vectors:
1 Mo 0.5000 0.5000 0.5000  8 F 2.80, 4 O 3.09
2 Si 0.0000 0.0000 0.0000  2 O 1.76
3 O 0.0000 0.0000 0.5000  2 Si 1.76
4 F 0.0000 0.5000 0.0000  2 Si 2.19
5 F 0.5000 0.0000 0.0000  2 Si 2.19

Results
For the excess energy over the best structure of this formula in the dataset, the calculation gives 0 meV per atom. Its total energy is -5.38 eV per atom.

[3]
A plane-wave DFT calculation with GGA+U was carried out for a geometry-optimized SiMoOF2 structure.

Unit cell a=4.2266 b=4.2266 c=4.2056 alpha=90.00 beta=90.00 gamma=90.00
With the nearest neighbours (Å) after each atom.
Sites, in units of the cell vectors:
1 Si 0.5000 0.5000 0.5000  8 F 2.98, 4 O 2.99
2 Mo 0.0000 0.0000 0.0000  2 O 2.10, 4 F 2.11
3 O 0.0000 0.0000 0.5000  2 Mo 2.10
4 F 0.5000 0.0000 0.0000  2 Mo 2.11
5 F 0.0000 0.5000 0.0000  2 Mo 2.11

Results
For the excess energy over the best structure of this formula in the dataset, the calculation gives 92 meV per atom. Its total energy is -5.28 eV per atom.

[4]
A plane-wave DFT calculation with GGA+U was carried out for a geometry-optimized Sr2MoO2F4 structure.

Unit cell a=4.2402 b=5.8891 c=5.8891 alpha=59.09 beta=87.52 gamma=87.52
With the nearest neighbours (Å) after each atom.
Sites, in units of the cell vectors:
1 F 0.2587 0.1972 0.6459  1 Mo 2.08
2 F 0.7413 0.3541 0.8028  1 Mo 2.08
3 F 0.2587 0.6459 0.1972  1 Mo 2.08
4 F 0.7413 0.8028 0.3541  1 Mo 2.08
5 O 0.2685 0.1710 0.1710  1 Mo 1.97
6 O 0.7315 0.8290 0.8290  1 Mo 1.97
7 Mo 0.5000 0.0000 0.0000  2 O 1.97, 4 F 2.08
8 Sr 0.7751 0.3253 0.3253  2 O 2.56-2.73, 4 F 2.66-2.69
9 Sr 0.2249 0.6747 0.6747  2 O 2.56-2.73, 4 F 2.66-2.69

Results
Its total energy is -5.99 eV per atom.

[5]
A plane-wave DFT calculation with GGA+U was carried out for a geometry-optimized Sr2MoO4F structure.

Unit cell a=3.3332 b=5.5267 c=6.9834 alpha=67.90 beta=76.19 gamma=72.45
With the nearest neighbours (Å) after each atom.
Sites, in units of the cell vectors:
1 Sr 0.1795 0.3402 0.3008  2 F 2.46, 5 O 2.49-2.75
2 Sr 0.8205 0.6598 0.6992  2 F 2.46, 5 O 2.49-2.75
3 O 0.1390 0.0027 0.7193  1 Mo 1.90
4 O 0.3942 0.2678 0.9439  2 Mo 2.14
5 O 0.6058 0.7322 0.0561  2 Mo 2.14
6 O 0.8610 0.9973 0.2807  1 Mo 1.90
7 Mo 0.0000 0.0000 0.0000  2 O 1.90
8 F 0.5000 0.5000 0.5000  4 Sr 2.46

Results
Its total energy is -6.59 eV per atom.

[6]
A plane-wave DFT calculation with GGA+U was carried out for a geometry-optimized TaMoO2F structure.

Unit cell a=4.0202 b=4.0202 c=4.2933 alpha=90.00 beta=90.00 gamma=90.00
With the nearest neighbours (Å) after each atom.
Sites, in units of the cell vectors:
1 O 0.0000 0.5000 0.0000  2 Ta 2.01
2 O 0.5000 0.0000 0.0000  2 Ta 2.01
3 F 0.0000 0.0000 0.5000  2 Ta 2.15
4 Ta 0.0000 0.0000 0.0000  4 O 2.01, 2 F 2.15
5 Mo 0.5000 0.5000 0.5000  4 F 2.84, 8 O 2.94

Results
Its total energy is -7.68 eV per atom.

[7]
A plane-wave DFT calculation with GGA+U was carried out for a geometry-optimized TaMoOF2 structure.

Unit cell a=4.3956 b=4.3956 c=3.9580 alpha=90.00 beta=90.00 gamma=90.00
With the nearest neighbours (Å) after each atom.
Sites, in units of the cell vectors:
1 Mo 0.5000 0.5000 0.5000  8 F 2.96, 4 O 3.11
2 F 0.0000 0.5000 0.0000  2 Ta 2.20
3 F 0.5000 0.0000 0.0000  2 Ta 2.20
4 Ta 0.0000 0.0000 0.0000  2 O 1.98, 4 F 2.20
5 O 0.0000 0.0000 0.5000  2 Ta 1.98

Results
For the excess energy over the best structure of this formula in the dataset, the calculation gives 0 meV per atom. Its total energy is -6.82 eV per atom.

[8]
A plane-wave DFT calculation with GGA+U was carried out for a geometry-optimized TaMoOF2 structure.

Unit cell a=4.2312 b=4.2312 c=4.3053 alpha=90.00 beta=90.00 gamma=90.00
With the nearest neighbours (Å) after each atom.
Sites, in units of the cell vectors:
1 Mo 0.0000 0.0000 0.0000  4 F 2.12, 2 O 2.15
2 O 0.0000 0.0000 0.5000  2 Mo 2.15
3 Ta 0.5000 0.5000 0.5000  4 O 2.99, 8 F 3.02
4 F 0.5000 0.0000 0.0000  2 Mo 2.12
5 F 0.0000 0.5000 0.0000  2 Mo 2.12

Results
For the excess energy over the best structure of this formula in the dataset, the calculation gives 859 meV per atom. Its total energy is -5.96 eV per atom.

[9]
A plane-wave DFT calculation with GGA+U was carried out for a geometry-optimized TaMoO2F structure.

Unit cell a=4.2013 b=4.2013 c=4.0485 alpha=90.00 beta=90.00 gamma=90.00
With the nearest neighbours (Å) after each atom.
Sites, in units of the cell vectors:
1 Ta 0.5000 0.5000 0.5000  8 O 2.92, 4 F 2.97
2 O 0.0000 0.5000 0.0000  2 Mo 2.10
3 O 0.5000 0.0000 0.0000  2 Mo 2.10
4 F 0.0000 0.0000 0.5000  2 Mo 2.02
5 Mo 0.0000 0.0000 0.0000  2 F 2.02, 4 O 2.10

Results
Its total energy is -6.61 eV per atom.

[10]
A plane-wave DFT calculation with GGA+U was carried out for a geometry-optimized TbMoO4F structure.

Unit cell a=12.4964 b=5.2838 c=6.7627 alpha=66.74 beta=90.00 gamma=90.00
With the nearest neighbours (Å) after each atom.
Sites, in units of the cell vectors:
1 O 0.3480 0.7645 0.0921  1 Mo 1.76
2 O 0.8480 0.2355 0.4079  1 Mo 1.76
3 O 0.7765 0.8064 0.2050  1 Mo 1.78
4 O 0.7235 0.8064 0.7050  1 Mo 1.78
5 O 0.4344 0.3094 0.9615  1 Mo 1.84
6 O 0.5656 0.6906 0.0385  1 Mo 1.84
7 O 0.2765 0.1936 0.2950  1 Mo 1.78
8 O 0.1520 0.7645 0.5921  1 Mo 1.76
9 O 0.2235 0.1936 0.7950  1 Mo 1.78
10 O 0.6520 0.2355 0.9079  1 Mo 1.76
11 O 0.5687 0.9965 0.3368  1 Mo 1.84
12 O 0.4313 0.0035 0.6632  1 Mo 1.84
13 O 0.0687 0.0035 0.1632  1 Mo 1.84
14 O 0.0656 0.3094 0.4615  1 Mo 1.84
15 O 0.9344 0.6906 0.5385  1 Mo 1.84
16 O 0.9313 0.9965 0.8368  1 Mo 1.84
17 Mo 0.1428 0.0808 0.3686  4 O 1.76-1.84
18 Mo 0.8572 0.9192 0.6314  4 O 1.76-1.84
19 Mo 0.6428 0.9192 0.1314  4 O 1.76-1.84
20 Mo 0.3572 0.0808 0.8686  4 O 1.76-1.84
21 F 0.0979 0.5414 0.0387  2 Tb 2.25-2.32
22 F 0.5979 0.4586 0.4613  2 Tb 2.25-2.32
23 F 0.9021 0.4586 0.9613  2 Tb 2.25-2.32
24 F 0.4021 0.5414 0.5387  2 Tb 2.25-2.32
25 Tb 0.5516 0.6394 0.7001  2 F 2.25-2.32, 6 O 2.33-2.45
26 Tb 0.4484 0.3606 0.2999  2 F 2.25-2.32, 6 O 2.33-2.45
27 Tb 0.9484 0.6394 0.2001  2 F 2.25-2.32, 6 O 2.33-2.45
28 Tb 0.0516 0.3606 0.7999  2 F 2.25-2.32, 6 O 2.33-2.45

Results
For the excess energy over the best structure of this formula in the dataset, the calculation gives 0 meV per atom. Its total energy is -7.39 eV per atom.

[11]
A plane-wave DFT calculation with GGA+U was carried out for a geometry-optimized TbMoO4F structure.

Unit cell a=6.0653 b=6.0653 c=7.0364 alpha=75.65 beta=75.65 gamma=75.21
With the nearest neighbours (Å) after each atom.
Sites, in units of the cell vectors:
1 F 0.0129 0.0129 0.1716  2 Tb 2.22-2.26
2 F 0.9871 0.9871 0.8284  2 Tb 2.22-2.26
3 Tb 0.7971 0.7971 0.1067  2 F 2.22-2.26, 4 O 2.32-2.35
4 Tb 0.2029 0.2029 0.8933  2 F 2.22-2.26, 4 O 2.32-2.35
5 O 0.2606 0.2606 0.5424  1 Mo 1.77
6 O 0.5410 0.5410 0.2250  1 Mo 1.78
7 O 0.4590 0.4590 0.7750  1 Mo 1.78
8 O 0.1027 0.4815 0.1572  1 Mo 1.81
9 O 0.5185 0.8973 0.8428  1 Mo 1.81
10 O 0.8973 0.5185 0.8428  1 Mo 1.81
11 O 0.4815 0.1027 0.1572  1 Mo 1.81
12 O 0.7394 0.7394 0.4576  1 Mo 1.77
13 Mo 0.3476 0.3476 0.2803  4 O 1.77-1.81
14 Mo 0.6524 0.6524 0.7197  4 O 1.77-1.81

Results
For the excess energy over the best structure of this formula in the dataset, the calculation gives 5 meV per atom. Its total energy is -7.39 eV per atom.

[12]
A plane-wave DFT calculation with GGA+U was carried out for a geometry-optimized TcMoOF2 structure.

Unit cell a=4.3335 b=4.3335 c=3.8011 alpha=90.00 beta=90.00 gamma=90.00
With the nearest neighbours (Å) after each atom.
Sites, in units of the cell vectors:
1 F 0.5000 0.0000 0.0000  2 Tc 2.17
2 F 0.0000 0.5000 0.0000  2 Tc 2.17
3 Tc 0.0000 0.0000 0.0000  2 O 1.90
4 Mo 0.5000 0.5000 0.5000  8 F 2.88, 4 O 3.06
5 O 0.0000 0.0000 0.5000  2 Tc 1.90

Results
For the excess energy over the best structure of this formula in the dataset, the calculation gives 0 meV per atom. Its total energy is -6.00 eV per atom.